## i
Crystalline Nd2Dy5Sc2 at its relaxed geometry, computed with GGA-PBE.

Its crystal system is monoclinic.

The structure belongs to space group C2/m (No. 12); the cell edges are 14.8695, 4.9485 and 7.8848 Å and the angles 90.00°, 108.32° and 90.00°. Symmetry generates all atoms from Nd at (0.1082, 0.0000, 0.1651), Dy at (0.0000, 0.0000, 0.5000), Dy at (0.1649, 0.5000, 0.5028), Dy at (0.2196, 0.0000, 0.8342) and Sc at (0.0562, 0.5000, 0.8361).


## ii
Crystalline Nd2Dy5Sc2 at its relaxed geometry, computed with GGA-PBE.

Its crystal system is orthorhombic.

The structure belongs to space group Ima2 (No. 46); the cell edges are 16.5658, 10.5266 and 6.5566 Å and the angles 90.00°, 90.00° and 90.00°. Symmetry generates all atoms from Nd at (0.0000, 0.0000, 0.0000), Nd at (0.2500, 0.0184, 0.2070), Dy at (0.0545, 0.2384, 0.6972), Dy at (0.1537, 0.6875, 0.3586), Dy at (0.2500, 0.1189, 0.7180) and Sc at (0.0833, 0.5347, 0.9637).


The least stable of them is ii.


## i
Crystalline Nd5Dy2Sc2 at its relaxed geometry, computed with GGA-PBE.

Its crystal system is orthorhombic.

The structure belongs to space group Ima2 (No. 46); the cell edges are 19.3025, 8.5576 and 7.1279 Å and the angles 90.00°, 90.00° and 90.00°. Symmetry generates all atoms from Nd at (0.1082, 0.2291, 0.0000), Nd at (0.1611, 0.7476, 0.0007), Nd at (0.2500, 0.0454, 0.7496), Dy at (0.0000, 0.0000, 0.2819), Dy at (0.2500, 0.0584, 0.2529) and Sc at (0.0382, 0.6366, 0.2532).


## ii
Crystalline Nd5Dy2Sc2 at its relaxed geometry, computed with GGA-PBE.

Its crystal system is monoclinic.

The structure belongs to space group C2/m (No. 12); the cell edges are 19.9027, 3.4779 and 8.5939 Å and the angles 90.00°, 102.74° and 90.00°. Symmetry generates all atoms from Nd at (0.0000, 0.0000, 0.0000), Nd at (0.1621, 0.5000, 0.9853), Nd at (0.2180, 0.0000, 0.6461), Dy at (0.0547, 0.0000, 0.6610) and Sc at (0.0971, 0.5000, 0.3501).


The least stable of them is i.


## i
Crystalline Nd4Dy2Sc at its relaxed geometry, computed with GGA-PBE.

Its crystal system is orthorhombic.

The structure belongs to space group Cmmm (No. 65); the cell edges are 6.1503, 12.9114 and 5.9709 Å and the angles 90.00°, 90.00° and 90.00°. Symmetry generates all atoms from Nd at (0.0000, 0.1359, 0.0000), Nd at (0.0000, 0.3126, 0.5000), Dy at (0.0000, 0.3882, 0.0000) and Sc at (0.0000, 0.0000, 0.5000).


## ii
Crystalline Nd4Dy2Sc at its relaxed geometry, computed with GGA-PBE.

Its crystal system is monoclinic.

The structure belongs to space group C2/c (No. 15); the cell edges are 6.1944, 25.0390 and 6.2075 Å and the angles 90.00°, 109.26° and 90.00°. Symmetry generates all atoms from Nd at (0.0000, 0.0359, 0.2500), Nd at (0.0000, 0.2482, 0.7500), Nd at (0.0000, 0.3223, 0.2500), Nd at (0.0000, 0.4624, 0.2500), Dy at (0.0000, 0.1768, 0.2500), Dy at (0.0000, 0.3928, 0.7500) and Sc at (0.0000, 0.1074, 0.7500).


The least stable of them is i.


## i
Crystalline Nd3DySc at its relaxed geometry, computed with GGA-PBE.

Its crystal system is orthorhombic.

The structure belongs to space group Pbcm (No. 57); the cell edges are 3.5387, 17.5020 and 10.7260 Å and the angles 90.00°, 90.00° and 90.00°. Symmetry generates all atoms from Nd at (0.2475, 0.2500, 0.0000), Nd at (0.2522, 0.5770, 0.0611), Dy at (0.2462, 0.1040, 0.7500) and Sc at (0.2532, 0.7282, 0.2500).


## ii
Crystalline Nd3DySc at its relaxed geometry, computed with GGA-PBE.

Its crystal system is monoclinic.

The structure belongs to space group C2/m (No. 12); the cell edges are 16.4224, 3.5234 and 12.2535 Å and the angles 90.00°, 114.62° and 90.00°. Symmetry generates all atoms from Nd at (0.0725, 0.0000, 0.4473), Nd at (0.1695, 0.5000, 0.0493), Nd at (0.2118, 0.5000, 0.3451), Dy at (0.1242, 0.5000, 0.7426) and Sc at (0.0200, 0.0000, 0.1462).


The least stable of them is i.


## i
Crystalline Nd2Dy7Sc2 at its relaxed geometry, computed with GGA-PBE.

Its crystal system is monoclinic.

The structure belongs to space group C2/m (No. 12); the cell edges are 11.1506, 11.3834 and 5.9310 Å and the angles 90.00°, 112.95° and 90.00°. Symmetry generates all atoms from Nd at (0.0000, 0.2189, 0.0000), Dy at (0.0000, 0.0000, 0.5000), Dy at (0.1750, 0.2308, 0.6677), Dy at (0.2428, 0.0000, 0.0980) and Sc at (0.0864, 0.5000, 0.2990).


## ii
Crystalline Nd2Dy7Sc2 at its relaxed geometry, computed with GGA-PBE.

Its crystal system is orthorhombic.

The structure belongs to space group Imm2 (No. 44); the cell edges are 3.6059, 17.7731 and 10.9719 Å and the angles 90.00°, 90.00° and 90.00°. Symmetry generates all atoms from Nd at (0.0000, 0.0000, 0.0000), Nd at (0.0000, 0.5000, 0.1859), Dy at (0.0000, 0.0000, 0.3451), Dy at (0.0000, 0.1587, 0.8509), Dy at (0.0000, 0.3034, 0.0925), Dy at (0.0000, 0.3640, 0.6327) and Sc at (0.0000, 0.1879, 0.3517).


The least stable of them is i.


## i
Crystalline NdDySc3 at its relaxed geometry, computed with GGA-PBE.

Its crystal system is monoclinic.

The structure belongs to space group Cm (No. 8); the cell edges are 10.6874, 4.8259 and 7.5671 Å and the angles 90.00°, 134.70° and 90.00°. Symmetry generates all atoms from Nd at (0.0000, 0.0000, 0.0000), Dy at (0.4062, 0.0000, 0.5994), Sc at (0.0990, 0.5000, 0.3956), Sc at (0.2029, 0.0000, 0.7991) and Sc at (0.3075, 0.5000, 0.2058).


## ii
Crystalline NdDySc3 at its relaxed geometry, computed with GGA-PBE.

Its crystal system is monoclinic.

The structure belongs to space group C2/m (No. 12); the cell edges are 20.7776, 3.4747 and 8.0608 Å and the angles 90.00°, 106.05° and 90.00°. Symmetry generates all atoms from Nd at (0.1823, 0.0000, 0.3778), Dy at (0.1095, 0.5000, 0.0060), Sc at (0.0169, 0.0000, 0.2364), Sc at (0.0809, 0.5000, 0.5879) and Sc at (0.2152, 0.0000, 0.8238).


The least stable of them is i.


## i
Crystalline Nd8Dy2Sc3 at its relaxed geometry, computed with GGA-PBE.

Its crystal system is monoclinic.

The structure belongs to space group C2/m (No. 12); the cell edges are 13.3765, 11.4522 and 5.9970 Å and the angles 90.00°, 112.82° and 90.00°. Symmetry generates all atoms from Nd at (0.0857, 0.0000, 0.2569), Nd at (0.1364, 0.5000, 0.6176), Nd at (0.1545, 0.2658, 0.1461), Dy at (0.1827, 0.0000, 0.8237), Sc at (0.0000, 0.2311, 0.5000) and Sc at (0.0000, 0.5000, 0.0000).


## ii
Crystalline Nd8Dy2Sc3 at its relaxed geometry, computed with GGA-PBE.

Its crystal system is monoclinic.

The structure belongs to space group C2/m (No. 12); the cell edges are 14.9860, 8.9374 and 6.6743 Å and the angles 90.00°, 99.83° and 90.00°. Symmetry generates all atoms from Nd at (0.0913, 0.0000, 0.4018), Nd at (0.1111, 0.1828, 0.9344), Nd at (0.1894, 0.5000, 0.3202), Dy at (0.1951, 0.5000, 0.8009), Sc at (0.0000, 0.3390, 0.5000) and Sc at (0.0000, 0.5000, 0.0000).


The least stable of them is ii.


## i
Crystalline Nd3Dy3Sc at its relaxed geometry, computed with GGA-PBE.

Its crystal system is trigonal.

The structure belongs to space group R-3 (No. 148, hexagonal axes); the cell edges are 8.6211, 8.6211 and 21.6987 Å and the angles 90.00°, 90.00° and 120.00°. Symmetry generates all atoms from Nd at (0.0132, 0.7607, 0.0569), Dy at (0.0550, 0.7808, 0.2148) and Sc at (0.0000, 0.0000, 0.3440).


## ii
Crystalline Nd3Dy3Sc at its relaxed geometry, computed with GGA-PBE.

Its crystal system is hexagonal.

The structure belongs to space group P6_3/m (No. 176); the cell edges are 9.5807, 9.5807 and 5.6930 Å and the angles 90.00°, 90.00° and 120.00°. Symmetry generates all atoms from Nd at (0.0968, 0.4773, 0.2500), Dy at (0.0498, 0.2384, 0.7500) and Sc at (0.3333, 0.6667, 0.7500).


The least stable of them is i.


## i
Crystalline Nd2Dy3Sc3 at its relaxed geometry, computed with GGA-PBE.

Its crystal system is monoclinic.

The structure belongs to space group C2/m (No. 12); the cell edges are 23.1355, 3.5082 and 6.0206 Å and the angles 90.00°, 104.87° and 90.00°. Symmetry generates all atoms from Nd at (0.2457, 0.0000, 0.2412), Dy at (0.0000, 0.0000, 0.0000), Dy at (0.1219, 0.0000, 0.4620), Sc at (0.0000, 0.5000, 0.5000) and Sc at (0.1212, 0.5000, 0.9538).


## ii
Crystalline Nd2Dy3Sc3 at its relaxed geometry, computed with GGA-PBE.

Its crystal system is trigonal.

The structure belongs to space group R-3m (No. 166, hexagonal axes); the cell edges are 6.1597, 6.1597 and 22.7317 Å and the angles 90.00°, 90.00° and 120.00°. Symmetry generates all atoms from Nd at (0.0000, 0.0000, 0.2088), Dy at (0.0000, 0.0000, 0.0709), Dy at (0.0000, 0.0000, 0.5000) and Sc at (0.0000, 0.5000, 0.0000).


The least stable of them is ii.


## i
Crystalline Nd4Dy5Sc2 at its relaxed geometry, computed with GGA-PBE.

Its crystal system is orthorhombic.

The structure belongs to space group Immm (No. 71); the cell edges are 3.4634, 9.3393 and 22.3127 Å and the angles 90.00°, 90.00° and 90.00°. Symmetry generates all atoms from Nd at (0.0000, 0.0000, 0.0985), Nd at (0.0000, 0.2942, 0.5000), Dy at (0.0000, 0.2066, 0.3442), Dy at (0.0000, 0.5000, 0.0000) and Sc at (0.0000, 0.0000, 0.2296).


## ii
Crystalline Nd4Dy5Sc2 at its relaxed geometry, computed with GGA-PBE.

Its crystal system is monoclinic.

The structure belongs to space group C2/m (No. 12); the cell edges are 18.0787, 5.0127 and 7.9115 Å and the angles 90.00°, 105.28° and 90.00°. Symmetry generates all atoms from Nd at (0.0440, 0.0000, 0.2222), Nd at (0.1822, 0.5000, 0.4048), Dy at (0.0000, 0.5000, 0.5000), Dy at (0.1353, 0.0000, 0.6866), Dy at (0.2267, 0.0000, 0.1297) and Sc at (0.0901, 0.5000, 0.9529).


The least stable of them is i.